A:
Material: HoSc4Se5
Method: DFT, GGA-PBE
State: optimized geometry

Its calculated volume is 21.2 A^3/atom. The value obtained for the density of states at the Fermi level is 0.66 states/eV/atom.

The space group is R-3m (No. 166, hexagonal axes) and the conventional cell measures 3.9147, 3.9147 and 47.8175 Å, with angles of 90.00, 90.00 and 120.00 degrees. The asymmetric unit holds Ho at (0.0000, 0.0000, 0.0000), Sc at (0.0000, 0.0000, 0.1994), Sc at (0.0000, 0.0000, 0.4020), Se at (0.0000, 0.0000, 0.1014), Se at (0.0000, 0.0000, 0.2970) and Se at (0.0000, 0.0000, 0.5000).

---

B:
Material: HoSc4Se5
Method: DFT, GGA-PBE
State: optimized geometry

Its calculated volume is 21.2 A^3/atom. The value obtained for the density of states at the Fermi level is 0.61 states/eV/atom.

The space group is Immm (No. 71) and the conventional cell measures 3.911, 5.532 and 19.605 Å, with angles of 90.00, 90.00 and 90.00 degrees. The asymmetric unit holds Ho at (0.000, 0.000, 0.000), Sc at (0.000, 0.000, 0.203), Sc at (0.000, 0.000, 0.400), Se at (0.000, 0.500, 0.000), Se at (0.000, 0.500, 0.199) and Se at (0.000, 0.500, 0.395).

---

Energies, relative to the best one, in eV/atom: A 0.000; B 0.005.